This record from Alexandria via LeMat-Bulk describes a relaxed structure of LiCd2Sb2. The functional is PBE.

Cell lengths 7.801, 7.801, 7.801 Å; angles 147.09, 147.09, 47.23 degrees
Element x y z (fractional)
Li: 0.000 0.000 0.000
Cd: 0.250 0.750 0.500
Cd: 0.750 0.250 0.500
Sb: 0.610 0.610 0.000
Sb: 0.390 0.390 0.000

Energy above the most stable polymorph in this dataset ... 76 meV/atom
Calculated volume ... 27.9 Å³/atom
Symmetry ... No. 139
Formation energy from raw total energies ... -0.057 eV per atom